[1]
## SrCd2CuAs (GGA-PBE)

Data for SrCd2CuAs after structural relaxation.

```
5
Lattice="5.5440 0.0000 0.0000 0.0000 5.5440 0.0000 0.0000 0.0000 4.5546" Properties=species:S:1:pos:R:3 pbc="T T T"
Sr 0.0000 0.0000 0.0000
Cd 0.0000 2.7720 2.2773
Cd 2.7720 0.0000 2.2773
Cu 2.7720 2.7720 0.0000
As 2.7720 2.7720 2.2773
```

Properties
N(E_F): 2.2 states/eV/cell
Formation enthalpy at 0 K: 0.046 eV/atom
Crystal system: tetragonal
Total energy: -2.41 eV/atom

***

[2]
## Dy2CdAs (GGA-PBE)

Data for Dy2CdAs after structural relaxation.

```
4
Lattice="1.9355 1.1175 9.8002 -1.9355 1.1175 9.8002 0.0000 -2.2349 9.8002" Properties=species:S:1:pos:R:3 pbc="T T T"
Dy 0.0000 0.0000 3.2144
Dy 0.0000 0.0000 26.1862
Cd 0.0000 0.0000 0.0000
As 0.0000 0.0000 14.7003
```

Properties
N(E_F): 4.7 states/eV/cell
Formation enthalpy at 0 K: -0.451 eV/atom
Crystal system: trigonal
Total energy: -4.14 eV/atom

***

[3]
## DyCdAs2O8 (GGA-PBE)

Data for DyCdAs2O8 after structural relaxation.

```
12
Lattice="-3.6010 3.6010 3.2018 3.6010 -3.6010 3.2018 3.6010 3.6010 -3.2018" Properties=species:S:1:pos:R:3 pbc="T T T"
Dy 0.0000 0.0000 0.0000
Cd 0.0000 3.6010 1.6009
As 3.6010 0.0000 1.6009
As 0.0000 0.0000 3.2018
O 2.2661 0.0000 0.5190
O 4.9359 0.0000 0.5190
O 3.6010 2.3109 -1.1442
O 3.6010 -1.3349 2.6829
O 0.0000 1.2901 2.0576
O 3.6010 1.3349 2.6829
O 2.3109 3.6010 1.1442
O 1.2901 0.0000 4.3461
```

Properties
N(E_F): 10.7 states/eV/cell
Formation energy from raw total energies: -1624 meV per atom
Crystal system: tetragonal
Total energy: -6.16 eV/atom